First-principles (GGA+U) data for Dy2NiO after structural relaxation, as listed in the Alexandria database.

The structure in CIF format:
```
data_Dy2NiO
_chemical_formula_sum 'Dy6 Ni3 O3'
_cell_length_a 3.3514
_cell_length_b 3.3514
_cell_length_c 23.1487
_cell_angle_alpha 90.00
_cell_angle_beta 90.00
_cell_angle_gamma 120.00
_symmetry_space_group_name_H-M 'R -3 m'
_symmetry_Int_Tables_number 166
_symmetry_space_group_name_Hall '-R 3 2"'
loop_
_atom_site_label
_atom_site_fract_x
_atom_site_fract_y
_atom_site_fract_z
Dy1 0.0000 0.0000 0.1059
Ni1 0.0000 0.0000 0.0000
O1 0.0000 0.0000 0.5000
```

Computed properties:
Magnetization ... 0.00 μB/f.u.
Uncorrected energy ... -4.820 eV per atom